# 1
## Ga2Sn (PBE)

Data for an optimized crystal structure of Ga2Sn.

Calculated values
Size of the total moment, μB per atom: 0.00
E, eV per atom: -3.304
Energy of formation from the pure elements, kcal/mol of atoms: 1.106
DOS at the Fermi energy, states/eV/atom: 0.398
Space group: I4/mmm, No. 139
Distance to the lowest polymorph of the same formula, eV per formula unit: 0.00
Mass density, g/cm3: 6.50

a = 5.8241 Å, b = 5.8241 Å, c = 5.8241 Å
α = 144.62°, β = 144.62°, γ = 50.91°
Fractional positions:
Ga 0.1820 0.1820 0.0000
Ga 0.8180 0.8180 0.0000
Sn 0.5000 0.5000 0.0000

# 2
## Ga6Sn (PBE)

Data for an optimized crystal structure of Ga6Sn.

Calculated values
Size of the total moment, μB per atom: 0.00
E, eV per atom: -2.839
Energy of formation from the pure elements, kcal/mol of atoms: 7.545
DOS at the Fermi energy, states/eV/atom: 0.590
Space group: Im-3m, No. 229
Distance to the lowest polymorph of the same formula, eV per formula unit: 2.07
Mass density, g/cm3: 4.98

a = 6.1519 Å, b = 6.1519 Å, c = 6.1519 Å
α = 109.47°, β = 109.47°, γ = 109.47°
Fractional positions:
Ga 0.2500 0.5000 0.7500
Ga 0.2500 0.7500 0.5000
Ga 0.5000 0.2500 0.7500
Ga 0.5000 0.7500 0.2500
Ga 0.7500 0.2500 0.5000
Ga 0.7500 0.5000 0.2500
Sn 0.0000 0.0000 0.0000

# 3
## GaSn2 (PBE)

Data for an optimized crystal structure of GaSn2.

Calculated values
Size of the total moment, μB per atom: 0.00
E, eV per atom: -3.611
Energy of formation from the pure elements, kcal/mol of atoms: 1.528
DOS at the Fermi energy, states/eV/atom: 0.400
Space group: C2/m, No. 12
Distance to the lowest polymorph of the same formula, eV per formula unit: 0.00
Mass density, g/cm3: 6.75

a = 3.3127 Å, b = 3.3127 Å, c = 7.9722 Å
α = 98.76°, β = 98.76°, γ = 61.28°
Fractional positions:
Ga 0.0000 0.0000 0.0000
Sn 0.2736 0.2736 0.6878
Sn 0.7264 0.7264 0.3122

# 4
## GaSn6 (PBE)

Data for an optimized crystal structure of GaSn6.

Calculated values
Size of the total moment, μB per atom: 0.00
E, eV per atom: -3.551
Energy of formation from the pure elements, kcal/mol of atoms: 7.215
DOS at the Fermi energy, states/eV/atom: 0.751
Space group: Im-3m, No. 229
Mass density, g/cm3: 4.81

a = 7.0543 Å, b = 7.0543 Å, c = 7.0543 Å
α = 109.47°, β = 109.47°, γ = 109.47°
Fractional positions:
Ga 0.0000 0.0000 0.0000
Sn 0.2500 0.5000 0.7500
Sn 0.2500 0.7500 0.5000
Sn 0.5000 0.2500 0.7500
Sn 0.5000 0.7500 0.2500
Sn 0.7500 0.2500 0.5000
Sn 0.7500 0.5000 0.2500

# 5
## Ga2Sn3 (PBE)

Data for an optimized crystal structure of Ga2Sn3.

Calculated values
Size of the total moment, μB per atom: 0.00
E, eV per atom: -3.522
Energy of formation from the pure elements, kcal/mol of atoms: 2.081
DOS at the Fermi energy, states/eV/atom: 0.444
Space group: R-3c, No. 167
Distance to the lowest polymorph of the same formula, eV per formula unit: 0.11
Mass density, g/cm3: 6.46

a = 6.7275 Å, b = 6.7275 Å, c = 6.7275 Å
α = 68.75°, β = 68.75°, γ = 68.75°
Fractional positions:
Ga 0.0912 0.0912 0.0912
Ga 0.4088 0.4088 0.4088
Ga 0.5912 0.5912 0.5912
Ga 0.9088 0.9088 0.9088
Sn 0.0060 0.7500 0.4940
Sn 0.2500 0.5060 0.9940
Sn 0.4940 0.0060 0.7500
Sn 0.5060 0.9940 0.2500
Sn 0.7500 0.4940 0.0060
Sn 0.9940 0.2500 0.5060

# 6
## Ga7Sn6 (PBE)

Data for an optimized crystal structure of Ga7Sn6.

Calculated values
Size of the total moment, μB per atom: 0.00
E, eV per atom: -3.423
Energy of formation from the pure elements, kcal/mol of atoms: 1.254
DOS at the Fermi energy, states/eV/atom: 0.467
Space group: R-3m, No. 166
Mass density, g/cm3: 6.65

a = 11.2369 Å, b = 11.2369 Å, c = 11.2369 Å
α = 29.26°, β = 29.26°, γ = 29.26°
Fractional positions:
Ga 0.0000 0.0000 0.0000
Ga 0.0910 0.0910 0.5884
Ga 0.0910 0.5884 0.0910
Ga 0.4116 0.9090 0.9090
Ga 0.5884 0.0910 0.0910
Ga 0.9090 0.4116 0.9090
Ga 0.9090 0.9090 0.4116
Sn 0.1667 0.1667 0.1667
Sn 0.3441 0.3441 0.3441
Sn 0.4502 0.4502 0.4502
Sn 0.5498 0.5498 0.5498
Sn 0.6559 0.6559 0.6559
Sn 0.8333 0.8333 0.8333

# 7
## Ga7Sn (PBE)

Data for an optimized crystal structure of Ga7Sn.

Calculated values
Size of the total moment, μB per atom: 0.00
E, eV per atom: -3.107
Energy of formation from the pure elements, kcal/mol of atoms: 0.969
DOS at the Fermi energy, states/eV/atom: 0.501
Space group: I4/mmm, No. 139
Distance to the lowest polymorph of the same formula, eV per formula unit: 0.03
Mass density, g/cm3: 6.33

a = 9.3746 Å, b = 9.3746 Å, c = 9.3746 Å
α = 153.91°, β = 153.91°, γ = 37.24°
Fractional positions:
Ga 0.0000 0.0000 0.0000
Ga 0.1323 0.6323 0.5000
Ga 0.2494 0.2494 0.0000
Ga 0.3677 0.8677 0.5000
Ga 0.6323 0.1323 0.5000
Ga 0.7506 0.7506 0.0000
Ga 0.8677 0.3677 0.5000
Sn 0.5000 0.5000 0.0000

# 8
## Ga3Sn2 (PBE)

Data for an optimized crystal structure of Ga3Sn2.

Calculated values
Size of the total moment, μB per atom: 0.00
E, eV per atom: -3.347
Energy of formation from the pure elements, kcal/mol of atoms: 1.611
DOS at the Fermi energy, states/eV/atom: 0.382
Space group: R-3m, No. 166
Distance to the lowest polymorph of the same formula, eV per formula unit: 0.00
Mass density, g/cm3: 6.33

a = 8.4536 Å, b = 8.4536 Å, c = 8.4536 Å
α = 27.93°, β = 27.93°, γ = 27.93°
Fractional positions:
Ga 0.0000 0.0000 0.0000
Ga 0.3870 0.3870 0.3870
Ga 0.6130 0.6130 0.6130
Sn 0.2089 0.2089 0.2089
Sn 0.7911 0.7911 0.7911

Question: Look up the E of the sixth one.
Answer: -3.423 eV per atom

Question: Among the records above, which one has the highest DOS at the Fermi energy?
Answer: GaSn6